Entry 1:
! Cd2ReP PBE optimized geometry; values from VASP
! Space group: C2/m, No. 12
! Final energy (eV per atom): -4.26
! V (Å³/f.u.): 71.07
! Crystal system: monoclinic
! Calculated density (g cm⁻³): 10.3
! ΔE_f (eV/atom): 0.66
&SYSTEM
  ibrav = 0, nat = 4, ntyp = 3
/
ATOMIC_SPECIES
Cd 112.41 Cd.upf
Re 186.21 Re.upf
P 30.97 P.upf
CELL_PARAMETERS angstrom
2.567 -4.358 0.000
2.567 4.358 0.000
-0.019 0.000 3.176
ATOMIC_POSITIONS crystal
Cd 0.000 0.500 0.000
Cd 0.500 0.000 0.000
Re 0.000 0.000 0.500
P 0.500 0.500 0.500



Entry 2:
! SrNdCd4 PBE optimized geometry; values from VASP
! Space group: Immm, No. 71
! Final energy (eV per atom): -2.01
! V (Å³/f.u.): 168.12
! Crystal system: orthorhombic
! Calculated density (g cm⁻³): 6.7
! ΔE_f (eV/atom): -0.32
! Excess energy over the best structure of this formula in the dataset (eV per atom): 0.0000
&SYSTEM
  ibrav = 0, nat = 6, ntyp = 3
/
ATOMIC_SPECIES
Sr 87.62 Sr.upf
Nd 144.24 Nd.upf
Cd 112.41 Cd.upf
CELL_PARAMETERS angstrom
-2.515 3.810 4.386
2.515 -3.810 4.386
2.515 3.810 -4.386
ATOMIC_POSITIONS crystal
Sr 0.000 0.000 0.000
Nd 0.500 0.000 0.500
Cd 0.098 0.333 0.764
Cd 0.431 0.667 0.764
Cd 0.569 0.333 0.236
Cd 0.902 0.667 0.236



Entry 3:
! Dy6Ge3C PBE optimized geometry; values from VASP
! Space group: R-3, No. 148
! Final energy (eV per atom): -5.60
! V (Å³/f.u.): 260.73
! Crystal system: trigonal
! Calculated density (g cm⁻³): 7.7
! ΔE_f (eV/atom): -0.53
&SYSTEM
  ibrav = 0, nat = 20, ntyp = 3
/
ATOMIC_SPECIES
Dy 162.50 Dy.upf
Ge 72.64 Ge.upf
C 12.01 C.upf
CELL_PARAMETERS angstrom
6.095 3.519 4.053
-6.095 3.519 4.053
0.000 -7.038 4.053
ATOMIC_POSITIONS crystal
Dy 0.036 0.927 0.697
Dy 0.073 0.303 0.964
Dy 0.207 0.554 0.427
Dy 0.303 0.964 0.073
Dy 0.427 0.207 0.554
Dy 0.446 0.573 0.793
Dy 0.554 0.427 0.207
Dy 0.573 0.793 0.446
Dy 0.697 0.036 0.927
Dy 0.793 0.446 0.573
Dy 0.927 0.697 0.036
Dy 0.964 0.073 0.303
Ge 0.106 0.285 0.615
Ge 0.285 0.615 0.106
Ge 0.385 0.894 0.715
Ge 0.615 0.106 0.285
Ge 0.715 0.385 0.894
Ge 0.894 0.715 0.385
C 0.000 0.000 0.000
C 0.500 0.500 0.500



Entry 4:
! Sc3PbSe PBE optimized geometry; values from VASP
! Space group: Pm-3m, No. 221
! Final energy (eV per atom): -5.81
! Raw formation energy (eV per atom): -0.57
! V (Å³/f.u.): 125.36
! Crystal system: cubic
! Calculated density (g cm⁻³): 5.6
! Excess energy over the best structure of this formula in the dataset (eV per atom): 0.1677
&SYSTEM
  ibrav = 0, nat = 5, ntyp = 3
/
ATOMIC_SPECIES
Sc 44.96 Sc.upf
Pb 207.20 Pb.upf
Se 78.96 Se.upf
CELL_PARAMETERS angstrom
5.005 0.000 0.000
0.000 5.005 0.000
0.000 0.000 5.005
ATOMIC_POSITIONS crystal
Sc 0.000 0.000 0.500
Sc 0.000 0.500 0.000
Sc 0.500 0.000 0.000
Pb 0.500 0.500 0.500
Se 0.000 0.000 0.000



Entry 5:
! Ce8TlTc6 PBE optimized geometry; values from VASP
! Space group: R-3, No. 148
! Final energy (eV per atom): -7.47
! V (Å³/f.u.): 388.05
! Crystal system: trigonal
! Calculated density (g cm⁻³): 8.2
! ΔE_f (eV/atom): 0.00
&SYSTEM
  ibrav = 0, nat = 15, ntyp = 3
/
ATOMIC_SPECIES
Ce 140.12 Ce.upf
Tl 204.38 Tl.upf
Tc 98.00 Tc.upf
CELL_PARAMETERS angstrom
5.231 3.020 4.093
-5.231 3.020 4.093
0.000 -6.041 4.093
ATOMIC_POSITIONS crystal
Ce 0.055 0.717 0.385
Ce 0.246 0.246 0.246
Ce 0.283 0.615 0.945
Ce 0.385 0.055 0.717
Ce 0.615 0.945 0.283
Ce 0.717 0.385 0.055
Ce 0.754 0.754 0.754
Ce 0.945 0.283 0.615
Tl 0.000 0.000 0.000
Tc 0.245 0.396 0.590
Tc 0.396 0.590 0.245
Tc 0.410 0.755 0.604
Tc 0.590 0.245 0.396
Tc 0.604 0.410 0.755
Tc 0.755 0.604 0.410



Entry 6:
! NaCaAcPt PBE optimized geometry; values from VASP
! Space group: F-43m, No. 216
! Final energy (eV per atom): -3.73
! V (Å³/f.u.): 110.71
! Crystal system: cubic
! Calculated density (g cm⁻³): 7.3
! ΔE_f (eV/atom): -0.36
&SYSTEM
  ibrav = 0, nat = 4, ntyp = 4
/
ATOMIC_SPECIES
Na 22.99 Na.upf
Ca 40.08 Ca.upf
Ac 227.00 Ac.upf
Pt 195.08 Pt.upf
CELL_PARAMETERS angstrom
0.000 3.811 3.811
3.811 0.000 3.811
3.811 3.811 0.000
ATOMIC_POSITIONS crystal
Na 0.000 0.000 0.000
Ca 0.250 0.250 0.250
Ac 0.750 0.750 0.750
Pt 0.500 0.500 0.500



Entry 7:
! Nb2V4Au PBE optimized geometry; values from VASP
! Space group: I4/mmm, No. 139
! Final energy (eV per atom): -7.22
! V (Å³/f.u.): 148.18
! Crystal system: tetragonal
! Calculated density (g cm⁻³): 6.6
! ΔE_f (eV/atom): 1.34
&SYSTEM
  ibrav = 0, nat = 7, ntyp = 3
/
ATOMIC_SPECIES
Nb 92.91 Nb.upf
V 50.94 V.upf
Au 196.97 Au.upf
CELL_PARAMETERS angstrom
-2.358 2.358 6.663
2.358 -2.358 6.663
2.358 2.358 -6.663
ATOMIC_POSITIONS crystal
Nb 0.103 0.103 0.000
Nb 0.897 0.897 0.000
V 0.000 0.500 0.500
V 0.304 0.304 0.000
V 0.500 0.000 0.500
V 0.696 0.696 0.000
Au 0.500 0.500 0.000



Entry 8:
! HfNbGe PBE optimized geometry; values from VASP
! Space group: P3m1, No. 156
! Final energy (eV per atom): -8.26
! V (Å³/f.u.): 56.97
! Crystal system: trigonal
! Calculated density (g cm⁻³): 10.0
! ΔE_f (eV/atom): -0.05
&SYSTEM
  ibrav = 0, nat = 3, ntyp = 3
/
ATOMIC_SPECIES
Hf 178.49 Hf.upf
Nb 92.91 Nb.upf
Ge 72.64 Ge.upf
CELL_PARAMETERS angstrom
4.742 0.000 0.000
-2.371 4.107 0.000
0.000 0.000 2.926
ATOMIC_POSITIONS crystal
Hf 0.000 0.000 0.000
Nb 0.667 0.333 0.523
Ge 0.333 0.667 0.422